Compound: TlRh4Se
Source: Alexandria via LeMat-Bulk
Functional: PBE-GGA
Structure: relaxed

Output
Uncorrected energy: -5.45 eV/atom
Formation energy (no corrections): 41.25 kJ/mol of atoms
Density: 11.187 Mg/m³

```
TlRh4Se
1.0
0.000 3.722 3.722
3.722 0.000 3.722
3.722 3.722 0.000
Rh Tl Se
4 1 1
Direct
0.376 0.376 0.872
0.376 0.376 0.376
0.376 0.872 0.376
0.872 0.376 0.376
0.000 0.000 0.000
0.750 0.750 0.750
```

Compound: TlRhSe
Source: Alexandria via LeMat-Bulk
Functional: PBE-GGA
Structure: relaxed

Output
Uncorrected energy: -4.60 eV/atom
Formation energy (no corrections): -19.44 kJ/mol of atoms
Density: 8.999 Mg/m³

```
TlRhSe
1.0
-1.392 -1.909 3.032
0.606 -5.549 -3.215
6.108 -0.329 0.161
Rh Se Tl
2 2 2
Direct
0.500 0.000 0.000
0.000 0.500 0.000
0.896 0.190 0.792
0.104 0.810 0.208
0.351 0.690 0.702
0.649 0.310 0.298
```

Compound: TlRhSe2
Source: Alexandria via LeMat-Bulk
Functional: PBE-GGA
Structure: relaxed

Output
Uncorrected energy: -4.29 eV/atom
Formation energy (no corrections): -11.46 kJ/mol of atoms
Density: 8.399 Mg/m³

```
TlRhSe2
1.0
9.069 0.265 -0.103
7.783 4.663 0.103
-8.454 -2.369 2.291
Se Tl Rh
2 1 1
Direct
0.910 0.910 0.000
0.234 0.734 0.500
0.553 0.553 0.000
0.802 0.302 0.500
```